Computed, not measured: a geometry-optimized Ba3Nd structure at the PBE-GGA level of DFT.

```
data_Ba3Nd
_chemical_formula_sum 'Ba6 Nd2'
_symmetry_space_group_name_H-M 'I 4/m m m'
_symmetry_Int_Tables_number 139
_symmetry_space_group_name_Hall '-I 4 2'
_cell_length_a 5.958
_cell_length_b 5.958
_cell_length_c 11.767
_cell_angle_alpha 90.00
_cell_angle_beta 90.00
_cell_angle_gamma 90.00
loop_
_atom_site_label
_atom_site_type_symbol
_atom_site_fract_x
_atom_site_fract_y
_atom_site_fract_z
_atom_site_occupancy
Ba1 Ba 0.000 0.000 0.000 1
Ba2 Ba 0.000 0.500 0.250 1
Nd1 Nd 0.000 0.000 0.500 1
```

Computed properties:
Energy above the lowest structure with this stoichiometry ... 0.06 eV per formula unit
E_form ... 0.19 eV/atom
Density ... 4.42 g cm⁻³

---

Computed, not measured: a geometry-optimized MgAlCrTc structure at the PBE-GGA level of DFT.

```
data_MgAlCrTc
_chemical_formula_sum 'Mg4 Al4 Cr4 Tc4'
_symmetry_space_group_name_H-M 'F -4 3 m'
_symmetry_Int_Tables_number 216
_symmetry_space_group_name_Hall 'F -4 2 3'
_cell_length_a 6.111
_cell_length_b 6.111
_cell_length_c 6.111
_cell_angle_alpha 90.00
_cell_angle_beta 90.00
_cell_angle_gamma 90.00
loop_
_atom_site_label
_atom_site_type_symbol
_atom_site_fract_x
_atom_site_fract_y
_atom_site_fract_z
_atom_site_occupancy
Mg1 Mg 0.000 0.000 0.000 1
Al1 Al 0.250 0.250 0.250 1
Cr1 Cr 0.250 0.250 0.750 1
Tc1 Tc 0.000 0.000 0.500 1
```

Computed properties:
E_form ... -0.02 eV/atom
Density ... 5.86 g cm⁻³

---

Computed, not measured: a geometry-optimized Ga3Ag3Au2 structure at the PBE-GGA level of DFT.

```
data_Ga3Ag3Au2
_chemical_formula_sum 'Ga12 Ag12 Au8'
_symmetry_space_group_name_H-M 'C m c m'
_symmetry_Int_Tables_number 63
_symmetry_space_group_name_Hall '-C 2c 2'
_cell_length_a 3.074
_cell_length_b 10.752
_cell_length_c 17.245
_cell_angle_alpha 90.00
_cell_angle_beta 90.00
_cell_angle_gamma 90.00
loop_
_atom_site_label
_atom_site_type_symbol
_atom_site_fract_x
_atom_site_fract_y
_atom_site_fract_z
_atom_site_occupancy
Ga1 Ga 0.000 0.121 0.013 1
Ga2 Ga 0.000 0.136 0.750 1
Ag1 Ag 0.000 0.127 0.250 1
Ag2 Ag 0.000 0.475 0.131 1
Au1 Au 0.000 0.258 0.617 1
```

Computed properties:
E_form ... -0.09 eV/atom
Density ... 10.80 g cm⁻³

---

no.,final energy (eV per atom)
1,-2.44
2,-6.36
3,-3.12